VASP calculation (PBE) on a relaxed In2Se3 crystal.

Geometry as CIF:
```
data_In2Se3
_chemical_formula_sum 'In2 Se3'
_cell_length_a 5.0359
_cell_length_b 5.0359
_cell_length_c 5.8794
_cell_angle_alpha 90.00
_cell_angle_beta 90.00
_cell_angle_gamma 120.00
_space_group_name_H-M_alt 'P -3 m 1'
_space_group_IT_number 164
_space_group_name_Hall '-P 3 2"'
loop_
_atom_site_label
_atom_site_fract_x
_atom_site_fract_y
_atom_site_fract_z
In1 0.3333 0.6667 0.2677
Se1 0.0000 0.0000 0.5000
Se2 0.3333 0.6667 0.7637
```

Summary:
Formation energy from raw total energies (eV/f.u.): -0.47
VASP energy (eV per atom): -3.280
Total moment (Bohr magnetons per cell): 0.0